1.
Density functional theory data (PBE) for crystalline Pr2ZnSnAu6 at its relaxed geometry.

a b c (Å): 5.6622 8.8341 9.5303
angles (deg): 90.00 90.00 90.00
Closest atoms and distances in Å follow each position.
Space group Pmmn (No. 59, origin choice 2)
Symmetry-distinct sites (fractional):
Pr 0.2500 0.0029 0.2402  7 Au 3.20-3.47, 2 Zn 3.58
Zn 0.2500 0.7500 0.7542  6 Au 2.56-2.68
Sn 0.2500 0.2500 0.7773  4 Au 2.71-2.73
Au 0.0024 0.7500 0.9785  1 Zn 2.56, 1 Sn 2.73, 2 Au 2.80-2.86
Au 0.0034 0.2500 0.4789  1 Zn 2.65, 6 Au 2.79-2.87
Au 0.2500 0.0064 0.6039  1 Zn 2.68, 1 Sn 2.71, 4 Au 2.79-2.83

Values from the calculation:
Uncorrected energy: -3.900 eV per atom
V: 238.4 Å³/f.u.
Energy relative to the elements: -0.450 eV per atom

---

2.
Density functional theory data (PBE) for crystalline PrZnSnAu at its relaxed geometry.

a b c (Å): 7.1690 7.1690 7.1690
angles (deg): 90.00 90.00 90.00
Closest atoms and distances in Å follow each position.
Space group F-43m (No. 216)
Symmetry-distinct sites (fractional):
Pr 0.0000 0.0000 0.0000  4 Zn 3.10, 4 Au 3.10
Zn 0.2500 0.2500 0.2500  4 Sn 3.10, 4 Pr 3.10
Sn 0.0000 0.0000 0.5000  4 Au 3.10, 4 Zn 3.10
Au 0.2500 0.2500 0.7500  4 Sn 3.10, 4 Pr 3.10

Values from the calculation:
Uncorrected energy: -3.838 eV per atom
V: 92.1 Å³/f.u.
Energy relative to the elements: -0.505 eV per atom